# 1
First-principles (PBE) data for an optimized crystal structure of CsZnIn2Ni, as listed in Alexandria.

The symmetry is P4/mmm (123). The calculated formation energy is 14 kJ/mol of formula units.

Cell: 5.142 5.142 5.106 Å, 90.00 90.00 90.00°
Element x y z (fractional)
In  0.000  0.500  0.000
Zn  0.000  0.000  0.500
Ni  0.000  0.000  0.000
Cs  0.500  0.500  0.500
In  0.500  0.000  0.000

# 2
First-principles (PBE) data for an optimized crystal structure of MgZn2In2, as listed in Alexandria.

The symmetry is I4/mmm (139). The excess energy over the best structure of this formula in the dataset is 0.056 eV per atom. The calculated formation energy is 44 kJ/mol of formula units.

Cell: 4.227 4.227 6.914 Å, 72.20 72.20 90.00°
Element x y z (fractional)
In  0.750  0.250  0.500
Mg  0.000  0.000  0.000
Zn  0.596  0.596  0.808
In  0.250  0.750  0.500
Zn  0.404  0.404  0.192

# 3
First-principles (PBE) data for an optimized crystal structure of MgSiAu4, as listed in Alexandria.

The symmetry is F-43m (216). The value obtained for the uncorrected formation energy is 1.9 kcal/mol of atoms.

Cell: 5.504 5.504 5.504 Å, 60.00 60.00 60.00°
Element x y z (fractional)
Mg  0.750  0.750  0.750
Au  0.375  0.375  0.375
Au  0.375  0.875  0.375
Si  0.000  0.000  0.000
Au  0.875  0.375  0.375
Au  0.375  0.375  0.875

It is found that the DFT total energy values, taken in the order of the records, are -2.65; -1.83; -3.27 eV per atom.
It is found that the D(E_F) values, taken in the order of the records, are 0.510; 0.389; 0.311 states/eV per atom.